# Ce3B2PRh9 (GGA-PBE, optimized geometry)
data_Ce3B2PRh9
_space_group_name_H-M_alt 'P 1'
_space_group_IT_number 1
_cell_length_a 5.856
_cell_length_b 5.856
_cell_length_c 8.184
_cell_angle_alpha 90.00
_cell_angle_beta 90.00
_cell_angle_gamma 120.00
loop_
_space_group_symop_operation_xyz
'x,y,z'
loop_
_atom_site_label
_atom_site_type_symbol
_atom_site_fract_x
_atom_site_fract_y
_atom_site_fract_z
Ce1 Ce 0.333 0.667 0.654
Ce2 Ce 0.000 0.000 0.000
Ce3 Ce 0.667 0.333 0.346
B1 B 0.333 0.667 0.154
B2 B 0.667 0.333 0.846
P1 P 0.000 0.000 0.500
Rh1 Rh 0.837 0.163 0.704
Rh2 Rh 0.837 0.674 0.704
Rh3 Rh 0.326 0.163 0.704
Rh4 Rh 0.674 0.837 0.296
Rh5 Rh 0.163 0.326 0.296
Rh6 Rh 0.163 0.837 0.296
Rh7 Rh 0.500 0.000 0.000
Rh8 Rh 0.000 0.500 0.000
Rh9 Rh 0.500 0.500 0.000
# Symmetry ... P-3m1, No. 164
# Mass density ... 9.558 g cm⁻³
# ΔE_f ... -0.745 eV per atom



# AlTe2Se (GGA-PBE, optimized geometry)
data_AlTe2Se
_space_group_name_H-M_alt 'P 1'
_space_group_IT_number 1
_cell_length_a 4.232
_cell_length_b 7.262
_cell_length_c 5.898
_cell_angle_alpha 35.44
_cell_angle_beta 90.00
_cell_angle_gamma 90.00
loop_
_space_group_symop_operation_xyz
'x,y,z'
loop_
_atom_site_label
_atom_site_type_symbol
_atom_site_fract_x
_atom_site_fract_y
_atom_site_fract_z
Te1 Te 0.000 0.000 0.000
Te2 Te 0.500 0.500 0.000
Al1 Al 0.500 0.500 0.500
Se1 Se 0.000 0.000 0.500
# Symmetry ... P2/m, No. 10
# E_form (uncorrected) ... -0.0496 eV/atom
# Mass density ... 5.705 g cm⁻³



# PmAlIr4 (GGA-PBE, optimized geometry)
data_PmAlIr4
_space_group_name_H-M_alt 'P 1'
_space_group_IT_number 1
_cell_length_a 5.300
_cell_length_b 5.300
_cell_length_c 5.300
_cell_angle_alpha 60.00
_cell_angle_beta 60.00
_cell_angle_gamma 60.00
loop_
_space_group_symop_operation_xyz
'x,y,z'
loop_
_atom_site_label
_atom_site_type_symbol
_atom_site_fract_x
_atom_site_fract_y
_atom_site_fract_z
Ir1 Ir 0.626 0.626 0.123
Ir2 Ir 0.626 0.123 0.626
Ir3 Ir 0.626 0.626 0.626
Ir4 Ir 0.123 0.626 0.626
Al1 Al 0.000 0.000 0.000
Pm1 Pm 0.250 0.250 0.250
# Symmetry ... F-43m, No. 216
# Mass density ... 14.843 g cm⁻³
# ΔE_f ... -0.364 eV per atom



# Sr2CuIrN (GGA-PBE, optimized geometry)
data_Sr2CuIrN
_space_group_name_H-M_alt 'P 1'
_space_group_IT_number 1
_cell_length_a 5.397
_cell_length_b 5.397
_cell_length_c 3.796
_cell_angle_alpha 90.00
_cell_angle_beta 90.00
_cell_angle_gamma 90.00
loop_
_space_group_symop_operation_xyz
'x,y,z'
loop_
_atom_site_label
_atom_site_type_symbol
_atom_site_fract_x
_atom_site_fract_y
_atom_site_fract_z
Sr1 Sr 0.000 0.500 0.000
Sr2 Sr 0.500 0.000 0.000
Ir1 Ir 0.000 0.000 0.500
Cu1 Cu 0.500 0.500 0.500
N1 N 0.000 0.000 0.000
# Symmetry ... P4/mmm, No. 123
# E_form (uncorrected) ... -0.3894 eV/atom
# Mass density ... 6.683 g cm⁻³
# Energy relative to the lowest polymorph listed for this composition ... 0 meV/atom



# BaLi2In (GGA-PBE, optimized geometry)
data_BaLi2In
_space_group_name_H-M_alt 'P 1'
_space_group_IT_number 1
_cell_length_a 4.947
_cell_length_b 4.947
_cell_length_c 6.665
_cell_angle_alpha 68.47
_cell_angle_beta 68.47
_cell_angle_gamma 59.81
loop_
_space_group_symop_operation_xyz
'x,y,z'
loop_
_atom_site_label
_atom_site_type_symbol
_atom_site_fract_x
_atom_site_fract_y
_atom_site_fract_z
Li1 Li 0.997 0.997 0.010
Li2 Li 0.692 0.692 0.924
Ba1 Ba 0.506 0.506 0.483
In1 In 0.305 0.305 0.083
# Symmetry ... Cm, No. 8
# Mass density ... 3.458 g cm⁻³
# ΔE_f ... -0.207 eV per atom



# RbTe2Au (GGA-PBE, optimized geometry)
data_RbTe2Au
_space_group_name_H-M_alt 'P 1'
_space_group_IT_number 1
_cell_length_a 5.651
_cell_length_b 7.496
_cell_length_c 7.496
_cell_angle_alpha 90.82
_cell_angle_beta 104.37
_cell_angle_gamma 104.37
loop_
_space_group_symop_operation_xyz
'x,y,z'
loop_
_atom_site_label
_atom_site_type_symbol
_atom_site_fract_x
_atom_site_fract_y
_atom_site_fract_z
Rb1 Rb 0.254 0.922 0.582
Rb2 Rb 0.754 0.582 0.922
Te1 Te 0.100 0.363 0.617
Te2 Te 0.600 0.617 0.363
Te3 Te 0.409 0.887 0.140
Te4 Te 0.909 0.140 0.887
Au1 Au 0.254 0.331 0.173
Au2 Au 0.754 0.173 0.331
# Symmetry ... C2/c, No. 15
# E_form (uncorrected) ... -0.4898 eV/atom
# Mass density ... 6.011 g cm⁻³



# TbDy4Al3 (GGA-PBE, optimized geometry)
data_TbDy4Al3
_space_group_name_H-M_alt 'P 1'
_space_group_IT_number 1
_cell_length_a 3.370
_cell_length_b 8.564
_cell_length_c 8.706
_cell_angle_alpha 119.46
_cell_angle_beta 101.16
_cell_angle_gamma 90.00
loop_
_space_group_symop_operation_xyz
'x,y,z'
loop_
_atom_site_label
_atom_site_type_symbol
_atom_site_fract_x
_atom_site_fract_y
_atom_site_fract_z
Tb1 Tb 0.500 0.000 0.000
Dy1 Dy 0.360 0.556 0.719
Dy2 Dy 0.640 0.444 0.281
Dy3 Dy 0.640 0.837 0.281
Dy4 Dy 0.360 0.163 0.719
Al1 Al 0.000 0.500 0.000
Al2 Al 0.183 0.183 0.366
Al3 Al 0.817 0.817 0.634
# Symmetry ... Immm, No. 71
# Mass density ... 6.928 g cm⁻³
# ΔE_f ... -0.134 eV per atom



# K2Pu2ZnS6 (GGA-PBE, optimized geometry)
data_K2Pu2ZnS6
_space_group_name_H-M_alt 'P 1'
_space_group_IT_number 1
_cell_length_a 7.000
_cell_length_b 7.000
_cell_length_c 7.794
_cell_angle_alpha 97.36
_cell_angle_beta 97.36
_cell_angle_gamma 123.42
loop_
_space_group_symop_operation_xyz
'x,y,z'
loop_
_atom_site_label
_atom_site_type_symbol
_atom_site_fract_x
_atom_site_fract_y
_atom_site_fract_z
K1 K 0.843 0.157 0.000
K2 K 0.157 0.843 0.000
Pu1 Pu 0.335 0.665 0.500
Pu2 Pu 0.665 0.335 0.500
Zn1 Zn 0.000 0.000 0.500
S1 S 0.759 0.759 0.671
S2 S 0.056 0.417 0.697
S3 S 0.241 0.241 0.329
S4 S 0.417 0.056 0.697
S5 S 0.944 0.583 0.303
S6 S 0.583 0.944 0.303
# Symmetry ... C2/m, No. 12
# E_form (uncorrected) ... -1.2440 eV/atom
# Mass density ... 4.459 g cm⁻³



# P2OsI2 (GGA-PBE, optimized geometry)
data_P2OsI2
_space_group_name_H-M_alt 'P 1'
_space_group_IT_number 1
_cell_length_a 3.333
_cell_length_b 3.333
_cell_length_c 10.779
_cell_angle_alpha 81.11
_cell_angle_beta 81.11
_cell_angle_gamma 90.00
loop_
_space_group_symop_operation_xyz
'x,y,z'
loop_
_atom_site_label
_atom_site_type_symbol
_atom_site_fract_x
_atom_site_fract_y
_atom_site_fract_z
I1 I 0.420 0.420 0.161
I2 I 0.580 0.580 0.839
P1 P 0.750 0.250 0.500
P2 P 0.250 0.750 0.500
Os1 Os 0.000 0.000 0.000
# Symmetry ... I4/mmm, No. 139
# E_form (uncorrected) ... 0.9692 eV/atom
# Mass density ... 7.192 g cm⁻³
# Energy relative to the lowest polymorph listed for this composition ... 0 meV/atom



# Cd2AsPd8 (GGA-PBE, optimized geometry)
data_Cd2AsPd8
_space_group_name_H-M_alt 'P 1'
_space_group_IT_number 1
_cell_length_a 4.604
_cell_length_b 5.819
_cell_length_c 7.783
_cell_angle_alpha 112.03
_cell_angle_beta 107.21
_cell_angle_gamma 90.00
loop_
_space_group_symop_operation_xyz
'x,y,z'
loop_
_atom_site_label
_atom_site_type_symbol
_atom_site_fract_x
_atom_site_fract_y
_atom_site_fract_z
Cd1 Cd 0.814 0.314 0.629
Cd2 Cd 0.186 0.686 0.371
As1 As 0.500 0.000 0.000
Pd1 Pd 0.364 0.605 0.727
Pd2 Pd 0.637 0.878 0.273
Pd3 Pd 0.818 0.817 0.635
Pd4 Pd 0.000 0.249 0.000
Pd5 Pd 0.182 0.183 0.365
Pd6 Pd 0.363 0.122 0.727
Pd7 Pd 0.636 0.395 0.273
Pd8 Pd 0.000 0.751 0.000
# Symmetry ... C2/m, No. 12
# Mass density ... 10.435 g cm⁻³
# ΔE_f ... -0.286 eV per atom



Number 1: M_tot 0.8 μB/cell. Number 2: M_tot 0.0 μB/cell. Number 3: M_tot 0.0 μB/cell. Number 4: M_tot 0.0 μB/cell. Number 5: M_tot 0.0 μB/cell. Number 6: M_tot 0.0 μB/cell. Number 7: M_tot 0.0 μB/cell. Number 8: M_tot 8.0 μB/cell. Number 9: M_tot 0.0 μB/cell. Number 10: M_tot 0.0 μB/cell.